No. 1
LiCl5 | PBE-GGA | optimized geometry Values from VASP.

Structure (Quantum ESPRESSO input):
```
&SYSTEM
  ibrav = 0, nat = 6, ntyp = 2
/
ATOMIC_SPECIES
Cl 35.45 Cl.upf
Li 6.94 Li.upf
CELL_PARAMETERS angstrom
4.0444 0.2250 -0.3231
-1.7596 4.6082 -0.4655
-0.8414 -1.2289 9.5676
ATOMIC_POSITIONS crystal
Cl 0.4642 0.6006 0.7279
Cl 0.3937 0.7154 0.1628
Cl 0.8984 0.5276 0.3294
Cl 0.2131 0.2804 0.5416
Cl 0.7833 0.0064 0.9726
Li 0.4139 0.2030 0.0991
```

Summary:
energy relative to the lowest polymorph listed for this composition = 233 meV/atom
space group = P1
uncorrected formation energy = -0.343 eV per atom



No. 2
Ta2NiAu | PBE-GGA | optimized geometry Values from VASP.

Structure (Quantum ESPRESSO input):
```
&SYSTEM
  ibrav = 0, nat = 4, ntyp = 3
/
ATOMIC_SPECIES
Ni 58.69 Ni.upf
Au 196.97 Au.upf
Ta 180.95 Ta.upf
CELL_PARAMETERS angstrom
4.8019 0.0007 -0.0024
3.8981 2.8040 -0.0024
1.0314 0.3325 4.8827
ATOMIC_POSITIONS crystal
Ni 0.2540 0.2540 0.2275
Au 0.5050 0.5050 0.5005
Ta 0.9947 0.9947 0.0293
Ta 0.7463 0.7463 0.7428
```

Summary:
DFT formation energy = -17 meV per atom
energy relative to the lowest polymorph listed for this composition = 127 meV/atom
space group = Cm